The following is a DFT calculation (PBE) of a relaxed structure of La2Sm5ErTh.

a b c (Å): 5.713 20.524 10.657
angles (deg): 90.00 90.00 90.00
Space group Cmc2_1 (No. 36)
Asymmetric unit:
La1 0.000 0.116 0.000 (multiplicity 4)
La2 0.000 0.116 0.415 (multiplicity 4)
Sm1 0.000 0.016 0.703 (multiplicity 4)
Sm2 0.000 0.276 0.996 (multiplicity 4)
Sm3 0.000 0.296 0.387 (multiplicity 4)
Sm4 0.000 0.387 0.707 (multiplicity 4)
Sm5 0.000 0.481 0.426 (multiplicity 4)
Er1 0.000 0.406 0.143 (multiplicity 4)
Th1 0.000 0.199 0.694 (multiplicity 4)

Calculated values
V: 1249.6 Å³/cell
ρ: 7.60 g cm⁻³

---

The following is a DFT calculation (PBE) of a relaxed structure of LaSmEr5Th2.

a b c (Å): 8.913 8.913 15.133
angles (deg): 90.00 90.00 90.00
Space group I4/mcm (No. 140)
Asymmetric unit:
La1 0.000 0.000 0.250 (multiplicity 4)
Sm1 0.000 0.500 0.250 (multiplicity 4)
Er1 0.000 0.000 0.000 (multiplicity 4)
Er2 0.206 0.294 0.136 (multiplicity 16)
Th1 0.118 0.382 0.500 (multiplicity 8)

Calculated values
V: 1202.2 Å³/cell
ρ: 8.78 g cm⁻³

---

The following is a DFT calculation (PBE) of a relaxed structure of LaSm5Er2Th.

a b c (Å): 5.692 20.187 10.571
angles (deg): 90.00 90.00 90.00
Space group Cmc2_1 (No. 36)
Asymmetric unit:
La1 0.000 0.086 0.000 (multiplicity 4)
Sm1 0.000 0.022 0.293 (multiplicity 4)
Sm2 0.000 0.114 0.582 (multiplicity 4)
Sm3 0.000 0.207 0.260 (multiplicity 4)
Sm4 0.000 0.223 0.872 (multiplicity 4)
Sm5 0.000 0.484 0.579 (multiplicity 4)
Er1 0.000 0.385 0.873 (multiplicity 4)
Er2 0.000 0.387 0.290 (multiplicity 4)
Th1 0.000 0.301 0.569 (multiplicity 4)

Calculated values
V: 1214.7 Å³/cell
ρ: 7.97 g cm⁻³

---

no.,ΔH_f (0 K) (meV per atom)
1,145
2,321
3,164